The following is a DFT calculation (PBE-GGA) of an optimized crystal structure of CaNi2SnI.

The space group is P4/mmm (No. 123) and the conventional cell measures 4.738, 4.738 and 5.741 Å, with angles of 90.00, 90.00 and 90.00 degrees. The asymmetric unit holds Ca at (0.000, 0.000, 0.000), Ni at (0.000, 0.500, 0.500), Sn at (0.500, 0.500, 0.000) and I at (0.000, 0.000, 0.500).

The volume comes out at 25.77 Å³ per atom. For the formation energy without anion corrections, the calculation gives 43.5 kJ/mol of atoms.

The following is a DFT calculation (PBE-GGA) of an optimized crystal structure of KScCu2.

The space group is Imm2 (No. 44) and the conventional cell measures 3.046, 5.178 and 10.734 Å, with angles of 90.00, 90.00 and 90.00 degrees. The asymmetric unit holds K at (0.000, 0.000, 0.000), Sc at (0.000, 0.500, 0.805), Cu at (0.000, 0.000, 0.537) and Cu at (0.000, 0.500, 0.225).

The volume comes out at 21.16 Å³ per atom. The calculation puts the total energy at -3.5094 eV per atom.

The following is a DFT calculation (PBE-GGA) of an optimized crystal structure of LaZnAg3.

The space group is P1 (No. 1) and the conventional cell measures 4.125, 4.407 and 6.758 Å, with angles of 108.89, 107.64 and 90.13 degrees. The asymmetric unit holds La at (0.000, 0.000, 0.000), Zn at (0.391, 0.391, 0.785), Ag at (0.268, 0.768, 0.536), Ag at (0.608, 0.608, 0.214) and Ag at (0.754, 0.254, 0.509).

The volume comes out at 22.02 Å³ per atom. The calculation puts the total energy at -3.1455 eV per atom.

The following is a DFT calculation (PBE-GGA) of an optimized crystal structure of Ta2NiAu.

The space group is I-42d (No. 122) and the conventional cell measures 3.829, 3.829 and 19.177 Å, with angles of 90.00, 90.00 and 90.00 degrees. The asymmetric unit holds Ta at (0.245, 0.250, 0.125), Ni at (0.000, 0.000, 0.000) and Au at (0.000, 0.000, 0.500).

The volume comes out at 17.57 Å³ per atom. The calculation puts the total energy at -7.6872 eV per atom.

The following is a DFT calculation (PBE-GGA) of an optimized crystal structure of Li2SmHoAu4.

The space group is R-3m (No. 166, hexagonal axes) and the conventional cell measures 4.9526, 4.9526 and 23.3993 Å, with angles of 90.00, 90.00 and 120.00 degrees. The asymmetric unit holds Li at (0.0000, 0.0000, 0.2499), Sm at (0.0000, 0.0000, 0.0000), Ho at (0.0000, 0.0000, 0.5000), Au at (0.0000, 0.0000, 0.1307) and Au at (0.0000, 0.0000, 0.3737).

The volume comes out at 20.71 Å³ per atom. The calculation puts the total energy at -3.9778 eV per atom.

The following is a DFT calculation (PBE-GGA) of an optimized crystal structure of CrCN2.

The space group is R-3m (No. 166, hexagonal axes) and the conventional cell measures 3.2467, 3.2467 and 14.2384 Å, with angles of 90.00, 90.00 and 120.00 degrees. The asymmetric unit holds Cr at (0.0000, 0.0000, 0.0000), C at (0.0000, 0.0000, 0.5000) and N at (0.0000, 0.0000, 0.4126).

The volume comes out at 10.83 Å³ per atom. For the formation energy without anion corrections, the calculation gives 2.9 kJ/mol of atoms.

The following is a DFT calculation (PBE-GGA) of an optimized crystal structure of CsRb2BePb.

The space group is P4/mmm (No. 123) and the conventional cell measures 7.586, 7.586 and 4.739 Å, with angles of 90.00, 90.00 and 90.00 degrees. The asymmetric unit holds Cs at (0.000, 0.000, 0.000), Rb at (0.000, 0.500, 0.500), Be at (0.500, 0.500, 0.000) and Pb at (0.500, 0.500, 0.500).

The volume comes out at 54.55 Å³ per atom. The calculation puts the total energy at -1.7228 eV per atom.

The following is a DFT calculation (PBE-GGA) of an optimized crystal structure of Pa3Zn4Ga4.

The space group is P-1 (No. 2) and the conventional cell measures 3.225, 4.569 and 14.487 Å, with angles of 99.02, 96.37 and 90.00 degrees. The asymmetric unit holds Pa at (0.000, 0.000, 0.000), Pa at (0.142, 0.641, 0.284), Zn at (0.262, 0.263, 0.524), Zn at (0.406, 0.907, 0.813), Ga at (0.313, 0.814, 0.627) and Ga at (0.452, 0.452, 0.904).

The volume comes out at 19.04 Å³ per atom. The calculation puts the total energy at -4.3373 eV per atom.

The following is a DFT calculation (PBE-GGA) of an optimized crystal structure of Tc2PdRu.

The space group is R-3m (No. 166, hexagonal axes) and the conventional cell measures 2.7320, 2.7320 and 27.0108 Å, with angles of 90.00, 90.00 and 120.00 degrees. The asymmetric unit holds Tc at (0.0000, 0.0000, 0.2474), Pd at (0.0000, 0.0000, 0.0000) and Ru at (0.0000, 0.0000, 0.5000).

The volume comes out at 14.55 Å³ per atom. The calculation puts the total energy at -8.7192 eV per atom.

The following is a DFT calculation (PBE-GGA) of an optimized crystal structure of MgScTc2.

The space group is I-42d (No. 122) and the conventional cell measures 7.244, 7.244 and 5.371 Å, with angles of 90.00, 90.00 and 90.00 degrees. The asymmetric unit holds Mg at (0.000, 0.000, 0.000), Sc at (0.000, 0.000, 0.500) and Tc at (0.241, 0.250, 0.125).

The volume comes out at 17.61 Å³ per atom. The calculation puts the total energy at -6.5281 eV per atom.

The following is a DFT calculation (PBE-GGA) of an optimized crystal structure of Dy3Ag.

The space group is Immm (No. 71) and the conventional cell measures 3.734, 5.355 and 11.160 Å, with angles of 90.00, 90.00 and 90.00 degrees. The asymmetric unit holds Dy at (0.000, 0.000, 0.000), Dy at (0.000, 0.500, 0.218) and Ag at (0.000, 0.000, 0.500).

The volume comes out at 27.90 Å³ per atom. The calculation puts the total energy at -4.2760 eV per atom.

The following is a DFT calculation (PBE-GGA) of an optimized crystal structure of GeBiS2N.

The space group is P4/mmm (No. 123) and the conventional cell measures 5.012, 5.012 and 3.616 Å, with angles of 90.00, 90.00 and 90.00 degrees. The asymmetric unit holds Ge at (0.000, 0.000, 0.000), Bi at (0.500, 0.500, 0.500), S at (0.000, 0.500, 0.000) and N at (0.000, 0.000, 0.500).

The volume comes out at 18.17 Å³ per atom. For the formation energy without anion corrections, the calculation gives 43.2 kJ/mol of atoms.